Record 1
The following is a DFT calculation (PBE) of a geometry-optimized SrLa2TiTl structure.

Cell lengths 6.168, 6.168, 5.386 Å; angles 90.00, 90.00, 90.00 degrees
Sites, in units of the cell vectors:
Sr 0.000 0.000 0.000
La 0.000 0.500 0.500
La 0.500 0.000 0.500
Ti 0.500 0.500 0.000
Tl 0.500 0.500 0.500

Record 2
The following is a DFT calculation (PBE) of a geometry-optimized SrLaY2Ti structure.

Cell lengths 5.644, 5.644, 5.700 Å; angles 90.00, 90.00, 90.00 degrees
Sites, in units of the cell vectors:
Sr 0.000 0.000 0.000
La 0.500 0.500 0.000
Y 0.000 0.500 0.500
Y 0.500 0.000 0.500
Ti 0.500 0.500 0.500

Record 3
The following is a DFT calculation (PBE) of a geometry-optimized SrLa3Tl4 structure.

Cell lengths 11.347, 8.010, 5.675 Å; angles 90.00, 90.00, 90.00 degrees
Sites, in units of the cell vectors:
Sr 0.000 0.000 0.000
Sr 0.500 0.000 0.000
La 0.000 0.500 0.000
La 0.250 0.000 0.498
La 0.250 0.500 0.497
La 0.500 0.500 0.000
La 0.750 0.000 0.502
La 0.750 0.500 0.503
Tl 0.000 0.252 0.500
Tl 0.000 0.748 0.500
Tl 0.250 0.252 0.997
Tl 0.250 0.748 0.997
Tl 0.500 0.252 0.500
Tl 0.500 0.748 0.500
Tl 0.750 0.252 0.003
Tl 0.750 0.748 0.003

Record 4
The following is a DFT calculation (PBE) of a geometry-optimized SrLaTl4 structure.

Cell lengths 6.187, 3.896, 8.643 Å; angles 90.00, 100.77, 90.00 degrees
Sites, in units of the cell vectors:
Sr 0.000 0.000 0.000
La 0.500 0.500 0.500
Tl 0.030 0.500 0.681
Tl 0.467 0.000 0.814
Tl 0.533 0.000 0.186
Tl 0.970 0.500 0.319

**Relative energy among the computed polymorphs**: 1.00 eV per formula unit

Record 5
The following is a DFT calculation (PBE) of a geometry-optimized Sr3La2Tl4 structure.

Cell lengths 5.724, 5.724, 11.034 Å; angles 90.03, 90.03, 59.94 degrees
Sites, in units of the cell vectors:
Sr 0.000 0.000 0.000
Sr 0.334 0.334 0.415
Sr 0.666 0.666 0.585
La 0.333 0.333 0.804
La 0.667 0.667 0.196
Tl 0.001 0.001 0.336
Tl 0.333 0.333 0.107
Tl 0.667 0.667 0.893
Tl 0.999 0.999 0.664

Record 6
The following is a DFT calculation (PBE) of a geometry-optimized SrLaTl3 structure.

Cell lengths 6.067, 6.067, 6.067 Å; angles 90.00, 90.00, 90.00 degrees
Sites, in units of the cell vectors:
Sr 0.000 0.000 0.000
La 0.500 0.500 0.500
Tl 0.000 0.500 0.500
Tl 0.500 0.000 0.500
Tl 0.500 0.500 0.000

**Relative energy among the computed polymorphs**: 0.00 eV per formula unit

Record 7
The following is a DFT calculation (PBE) of a geometry-optimized SrLaTl4 structure.

Cell lengths 6.419, 6.419, 6.419 Å; angles 60.00, 60.00, 60.00 degrees
Sites, in units of the cell vectors:
Sr 0.000 0.000 0.000
La 0.250 0.250 0.250
Tl 0.126 0.625 0.625
Tl 0.625 0.126 0.625
Tl 0.625 0.625 0.126
Tl 0.625 0.625 0.625

**Relative energy among the computed polymorphs**: 0.64 eV per formula unit

Record 8
The following is a DFT calculation (PBE) of a geometry-optimized Sr2La2Tl structure.

Cell lengths 8.329, 8.329, 6.010 Å; angles 90.00, 90.00, 90.00 degrees
Sites, in units of the cell vectors:
Sr 0.174 0.326 0.000
Sr 0.326 0.826 0.000
Sr 0.674 0.174 0.000
Sr 0.826 0.674 0.000
La 0.127 0.627 0.500
La 0.373 0.127 0.500
La 0.627 0.873 0.500
La 0.873 0.373 0.500
Tl 0.000 0.000 0.500
Tl 0.500 0.500 0.500

Record 9
The following is a DFT calculation (PBE) of a geometry-optimized SrLaTl4 structure.

Cell lengths 5.161, 5.161, 8.392 Å; angles 90.06, 90.06, 59.92 degrees
Sites, in units of the cell vectors:
Sr 0.000 0.000 0.000
La 0.000 0.000 0.500
Tl 0.333 0.333 0.676
Tl 0.334 0.334 0.214
Tl 0.666 0.666 0.786
Tl 0.667 0.667 0.324

**Relative energy among the computed polymorphs**: 0.00 eV per formula unit

Record 10
The following is a DFT calculation (PBE) of a geometry-optimized Sr3LaTl2 structure.

Cell lengths 5.609, 10.492, 7.647 Å; angles 90.00, 90.00, 90.00 degrees
Sites, in units of the cell vectors:
Sr 0.000 0.060 0.000
Sr 0.000 0.322 0.358
Sr 0.000 0.678 0.858
Sr 0.000 0.940 0.500
Sr 0.500 0.178 0.693
Sr 0.500 0.822 0.193
La 0.500 0.442 0.046
La 0.500 0.558 0.546
Tl 0.000 0.363 0.810
Tl 0.000 0.637 0.310
Tl 0.500 0.151 0.241
Tl 0.500 0.849 0.741

Record 11
The following is a DFT calculation (PBE) of a geometry-optimized Sr2LaTl9 structure.

Cell lengths 4.954, 4.954, 14.880 Å; angles 90.00, 90.00, 90.00 degrees
Sites, in units of the cell vectors:
Sr 0.000 0.000 0.169
Sr 0.000 0.000 0.831
La 0.000 0.000 0.500
Tl 0.000 0.500 0.000
Tl 0.000 0.500 0.337
Tl 0.000 0.500 0.663
Tl 0.500 0.000 0.000
Tl 0.500 0.000 0.337
Tl 0.500 0.000 0.663
Tl 0.500 0.500 0.167
Tl 0.500 0.500 0.500
Tl 0.500 0.500 0.833

Record 12
The following is a DFT calculation (PBE) of a geometry-optimized Sr4LaTl structure.

Cell lengths 7.373, 7.373, 7.373 Å; angles 60.00, 60.00, 60.00 degrees
Sites, in units of the cell vectors:
Sr 0.376 0.376 0.376
Sr 0.376 0.376 0.873
Sr 0.376 0.873 0.376
Sr 0.873 0.376 0.376
La 0.750 0.750 0.750
Tl 0.000 0.000 0.000

| no. | size of the total moment (μB/f.u.) | energy relative to the elements (eV/atom) |
| --- | --- | --- |
| 1 | 3.57 | 0.470 |
| 2 | 0.00 | 0.368 |
| 3 | 0.00 | -0.410 |
| 4 | 0.00 | -0.159 |
| 5 | 0.00 | -0.325 |
| 6 | 0.00 | 0.205 |
| 7 | 0.00 | -0.219 |
| 8 | 0.00 | 0.070 |
| 9 | 0.00 | -0.326 |
| 10 | 0.00 | -0.293 |
| 11 | 0.00 | -0.285 |
| 12 | 1.89 | 0.347 |